(1)
VASP calculation (GGA-PBE) on a relaxed SrCa2Tb crystal.

a b c (Å): 4.0568 4.0568 10.0094
angles (deg): 90.00 90.00 90.00
Space group P4/mmm (No. 123)
Inequivalent atoms, fractional coordinates:
Sr 0.0000 0.0000 0.0000 (multiplicity 1)
Ca 0.5000 0.5000 0.2795 (multiplicity 2)
Tb 0.0000 0.0000 0.5000 (multiplicity 1)

Results
The calculation puts the density of states at the Fermi level at 5.401 states/eV per cell. As for the relative energy among the computed polymorphs: 0.0 meV per atom. The calculation puts the volume at 41.18 A^3/atom. The total DFT energy (no corrections) is -2.48 eV/atom. For the energy relative to the elements, the calculation gives 0.10 eV/atom. Its total magnetization is 0.00 μB per formula unit.

---

(2)
VASP calculation (GGA-PBE) on a relaxed Sr2CaTb crystal.

a b c (Å): 3.8431 3.8431 41.5760
angles (deg): 90.00 90.00 120.00
Space group R-3m (No. 166, hexagonal axes)
Inequivalent atoms, fractional coordinates:
Sr 0.0000 0.0000 0.0859 (multiplicity 6)
Ca 0.0000 0.0000 0.5000 (multiplicity 3)
Tb 0.0000 0.0000 0.0000 (multiplicity 3)

Results
The calculation puts the density of states at the Fermi level at 14.883 states/eV per cell. As for the relative energy among the computed polymorphs: 149.5 meV per atom. The calculation puts the volume at 44.31 A^3/atom. The total DFT energy (no corrections) is -2.20 eV/atom. For the energy relative to the elements, the calculation gives 0.30 eV/atom. Its total magnetization is 0.63 μB per formula unit.